# 1
{
  "formula": "NbHOs",
  "functional": "PBE",
  "state": "relaxed",
  "cell": [[-2.409, 2.897, -3.142], [-2.457, -0.603, 1.327], [2.795, 6.170, 7.977]],
  "species": ["Nb", "Nb", "Nb", "Nb", "H", "H", "H", "H", "Os", "Os", "Os", "Os"],
  "fractional_positions": [[0.300, 0.000, 0.038], [0.300, 0.500, 0.538], [0.704, 0.000, 0.837], [0.704, 0.500, 0.337], [0.495, 0.000, 0.427], [0.495, 0.500, 0.927], [0.538, 0.000, 0.643], [0.538, 0.500, 0.143], [0.166, 0.000, 0.287], [0.166, 0.500, 0.787], [0.865, 0.000, 0.591], [0.865, 0.500, 0.091]],
  "crystal_system": "monoclinic",
  "polymorph_energy_mev_per_atom": 42
}

***

# 2
{
  "formula": "Ta2CoTe",
  "functional": "PBE",
  "state": "relaxed",
  "cell": [[4.603, 0.000, 0.000], [2.302, 3.987, 0.000], [2.302, 1.329, 3.759]],
  "species": ["Co", "Ta", "Ta", "Te"],
  "fractional_positions": [[0.500, 0.500, 0.500], [0.000, 0.000, 0.000], [0.250, 0.250, 0.250], [0.750, 0.750, 0.750]],
  "crystal_system": "cubic",
  "formation_energy_uncorrected_ev_per_atom": 0.484
}

***

# 3
{
  "formula": "Sr2TiH2",
  "functional": "PBE",
  "state": "relaxed",
  "cell": [[5.294, 0.000, 0.000], [0.000, 5.294, 0.000], [2.647, 2.647, 4.463]],
  "species": ["Sr", "Sr", "H", "H", "Ti"],
  "fractional_positions": [[0.750, 0.250, 0.500], [0.250, 0.750, 0.500], [0.217, 0.217, 0.566], [0.783, 0.783, 0.434], [0.000, 0.000, 0.000]],
  "crystal_system": "tetragonal",
  "polymorph_energy_mev_per_atom": 0
}

***

# 4
{
  "formula": "Y3Sb",
  "functional": "PBE",
  "state": "relaxed",
  "cell": [[5.826, 0.040, 0.000], [-1.909, 5.505, 0.000], [0.000, 0.000, 3.607]],
  "species": ["Sb", "Y", "Y", "Y"],
  "fractional_positions": [[0.000, 0.000, 0.000], [0.000, 0.500, 0.500], [0.500, 0.000, 0.500], [0.500, 0.500, 0.000]],
  "crystal_system": "orthorhombic",
  "formation_energy_uncorrected_ev_per_atom": -0.344,
  "polymorph_energy_mev_per_atom": 279
}

***

| no. | magnetic moment (μB/f.u.) | V (Å³/f.u.) |
| --- | --- | --- |
| 1 | 0.0 | 35.3 |
| 2 | 0.0 | 69.0 |
| 3 | 3.1 | 125.1 |
| 4 | 0.0 | 116.0 |